No. 1
TbNi3, optimized geometry, DFT PBE; space-group type = Fm-3m, No. 225; total moment = 0.03 μB per cell; theoretical density = 9.53 g/cm3; total energy = -21.837 eV for the cell shown
1.0
0.000 3.079 3.079
3.079 0.000 3.079
3.079 3.079 0.000
Tb Ni
1 3
direct
0.000 0.000 0.000 Tb
0.250 0.250 0.250 Ni
0.500 0.500 0.500 Ni
0.750 0.750 0.750 Ni



No. 2
TbNi, optimized geometry, DFT PBE; space-group type = Fm-3m, No. 225; total moment = 0.00 μB per cell; theoretical density = 8.55 g/cm3; total energy = -10.648 eV for the cell shown
1.0
0.000 2.765 2.765
2.765 0.000 2.765
2.765 2.765 0.000
Tb Ni
1 1
direct
0.000 0.000 0.000 Tb
0.500 0.500 0.500 Ni



No. 3
TbNi, optimized geometry, DFT PBE; space-group type = F-43m, No. 216; total moment = 0.18 μB per cell; theoretical density = 6.51 g/cm3; total energy = -9.314 eV for the cell shown
1.0
0.000 3.028 3.028
3.028 0.000 3.028
3.028 3.028 0.000
Tb Ni
1 1
direct
0.000 0.000 0.000 Tb
0.250 0.250 0.250 Ni



No. 4
TbNi, optimized geometry, DFT PBE; space-group type = P6_3/mmc, No. 194; total moment = 0.00 μB per cell; theoretical density = 7.08 g/cm3; total energy = -20.034 eV for the cell shown
1.0
4.633 0.000 0.000
-2.317 4.012 0.000
0.000 0.000 5.493
Tb Ni
2 2
direct
0.333 0.667 0.250 Tb
0.667 0.333 0.750 Tb
0.333 0.667 0.750 Ni
0.667 0.333 0.250 Ni



No. 5
TbNi2, optimized geometry, DFT PBE; space-group type = P4_2/mnm, No. 136; total moment = 0.00 μB per cell; theoretical density = 7.68 g/cm3; total energy = -27.630 eV for the cell shown
1.0
4.952 0.000 0.000
0.000 4.952 0.000
0.000 0.000 4.873
Tb Ni
2 4
direct
0.000 0.000 0.000 Tb
0.500 0.500 0.500 Tb
0.159 0.159 0.500 Ni
0.341 0.659 0.000 Ni
0.659 0.341 0.000 Ni
0.841 0.841 0.500 Ni



No. 6
TbNi, optimized geometry, DFT PBE; space-group type = P2_1/m, No. 11; total moment = 0.01 μB per cell; theoretical density = 8.97 g/cm3; total energy = -133.034 eV for the cell shown
1.0
5.423 0.000 0.000
0.000 4.230 0.000
-2.501 0.000 21.073
Tb Ni
12 12
direct
0.001 0.250 0.227 Tb
0.162 0.250 0.061 Tb
0.167 0.250 0.560 Tb
0.310 0.250 0.394 Tb
0.324 0.250 0.893 Tb
0.480 0.250 0.726 Tb
0.520 0.750 0.274 Tb
0.676 0.750 0.107 Tb
0.690 0.750 0.606 Tb
0.833 0.750 0.440 Tb
0.838 0.750 0.939 Tb
0.999 0.750 0.773 Tb
0.036 0.750 0.321 Ni
0.204 0.750 0.155 Ni
0.210 0.750 0.654 Ni
0.365 0.750 0.488 Ni
0.365 0.750 0.988 Ni
0.471 0.250 0.179 Ni
0.529 0.750 0.821 Ni
0.635 0.250 0.012 Ni
0.635 0.250 0.512 Ni
0.790 0.250 0.346 Ni
0.796 0.250 0.845 Ni
0.964 0.250 0.679 Ni



No. 7
TbNiTe2, optimized geometry, DFT PBE; space-group type = P-3m1, No. 164; total moment = 0.31 μB per cell; theoretical density = 8.28 g/cm3; total energy = -19.552 eV for the cell shown
1.0
4.049 0.000 0.000
-2.025 3.507 0.000
0.000 0.000 6.681
Tb Ni Te
1 1 2
direct
0.000 0.000 0.000 Tb
0.000 0.000 0.500 Ni
0.333 0.667 0.706 Te
0.667 0.333 0.294 Te



No. 8
Tb7Ni2Te2, optimized geometry, DFT PBE; space-group type = Imm2, No. 44; total moment = 0.02 μB per cell; theoretical density = 8.42 g/cm3; total energy = -57.207 eV for the cell shown
1.0
-1.931 7.871 4.816
1.931 -7.871 4.816
1.931 7.871 -4.816
Tb Ni Te
7 2 2
direct
0.000 0.000 0.000 Tb
0.065 0.380 0.685 Tb
0.083 0.730 0.353 Tb
0.376 0.730 0.647 Tb
0.450 0.582 0.868 Tb
0.695 0.380 0.315 Tb
0.714 0.582 0.132 Tb
0.310 0.072 0.238 Ni
0.834 0.072 0.762 Ni
0.336 0.336 0.000 Te
0.736 0.236 0.500 Te



No. 9
Tb2ThNi9, optimized geometry, DFT PBE; space-group type = R-3m, No. 166; total moment = 0.01 μB per cell; theoretical density = 10.24 g/cm3; total energy = -72.059 eV for the cell shown
1.0
2.487 1.436 8.165
-2.487 1.436 8.165
0.000 -2.871 8.165
Tb Th Ni
2 1 9
direct
0.140 0.140 0.140 Tb
0.860 0.860 0.860 Tb
0.000 0.000 0.000 Th
0.082 0.583 0.583 Ni
0.333 0.333 0.333 Ni
0.417 0.417 0.918 Ni
0.417 0.918 0.417 Ni
0.500 0.500 0.500 Ni
0.583 0.082 0.583 Ni
0.583 0.583 0.082 Ni
0.667 0.667 0.667 Ni
0.918 0.417 0.417 Ni



No. 10
Tb12TlNi6, optimized geometry, DFT PBE; space-group type = Im-3, No. 204; total moment = 0.16 μB per cell; theoretical density = 8.87 g/cm3; total energy = -97.967 eV for the cell shown
1.0
-4.867 4.867 4.867
4.867 -4.867 4.867
4.867 4.867 -4.867
Tb Tl Ni
12 1 6
direct
0.117 0.813 0.304 Tb
0.187 0.304 0.491 Tb
0.187 0.696 0.883 Tb
0.304 0.117 0.813 Tb
0.304 0.491 0.187 Tb
0.491 0.187 0.304 Tb
0.509 0.813 0.696 Tb
0.696 0.509 0.813 Tb
0.696 0.883 0.187 Tb
0.813 0.304 0.117 Tb
0.813 0.696 0.509 Tb
0.883 0.187 0.696 Tb
0.000 0.000 0.000 Tl
0.123 0.623 0.500 Ni
0.377 0.500 0.877 Ni
0.500 0.123 0.623 Ni
0.500 0.877 0.377 Ni
0.623 0.500 0.123 Ni
0.877 0.377 0.500 Ni



No. 11
TbTm2Tl3Ni3, optimized geometry, DFT PBE; space-group type = Amm2, No. 38; total moment = 0.00 μB per cell; theoretical density = 11.73 g/cm3; total energy = -40.489 eV for the cell shown
1.0
3.720 0.000 0.000
0.000 6.514 3.756
0.000 -6.514 3.756
Tb Tm Tl Ni
1 2 3 3
direct
0.000 0.000 0.000 Tb
0.000 0.184 0.592 Tm
0.000 0.592 0.184 Tm
0.500 0.331 0.331 Tl
0.500 0.590 0.854 Tl
0.500 0.854 0.590 Tl
0.000 0.591 0.591 Ni
0.500 0.260 0.924 Ni
0.500 0.924 0.260 Ni



No. 12
TbTmTlNi2, optimized geometry, DFT PBE; space-group type = Amm2, No. 38; total moment = 0.00 μB per cell; theoretical density = 10.55 g/cm3; total energy = -25.016 eV for the cell shown
1.0
3.660 0.000 0.000
0.000 1.944 7.187
0.000 -1.944 7.187
Tb Tm Tl Ni
1 1 1 2
direct
0.000 0.000 0.000 Tb
0.000 0.279 0.279 Tm
0.500 0.641 0.641 Tl
0.500 0.437 0.437 Ni
0.500 0.838 0.838 Ni



No. 13
TbYTl4Ni2, optimized geometry, DFT PBE; space-group type = Amm2, No. 38; total moment = 0.00 μB per cell; theoretical density = 11.22 g/cm3; total energy = -33.177 eV for the cell shown
1.0
7.512 0.000 0.000
0.000 2.173 5.360
0.000 -2.173 5.360
Tb Y Tl Ni
1 1 4 2
direct
0.000 0.000 0.000 Tb
0.500 0.862 0.862 Y
0.203 0.290 0.290 Tl
0.297 0.572 0.572 Tl
0.703 0.572 0.572 Tl
0.797 0.290 0.290 Tl
0.000 0.718 0.718 Ni
0.500 0.144 0.144 Ni



No. 14
TbTmNi, optimized geometry, DFT PBE; space-group type = F-43m, No. 216; excess energy over the best structure of this formula in the dataset = 0.29 eV/f.u.; total moment = 0.00 μB per cell; theoretical density = 8.64 g/cm3
1.0
0.000 3.337 3.337
3.337 0.000 3.337
3.337 3.337 0.000
Tb Tm Ni
1 1 1
direct
0.000 0.000 0.000 Tb
0.500 0.500 0.500 Tm
0.250 0.250 0.250 Ni



No. 15
TbTm2Ni9, optimized geometry, DFT PBE; space-group type = R-3m, No. 166; total moment = 1.07 μB per cell; theoretical density = 10.07 g/cm3; total energy = -68.971 eV for the cell shown
1.0
2.465 1.423 8.030
-2.465 1.423 8.030
0.000 -2.847 8.030
Tb Tm Ni
1 2 9
direct
0.000 0.000 0.000 Tb
0.140 0.140 0.140 Tm
0.860 0.860 0.860 Tm
0.081 0.584 0.584 Ni
0.333 0.333 0.333 Ni
0.416 0.416 0.919 Ni
0.416 0.919 0.416 Ni
0.500 0.500 0.500 Ni
0.584 0.081 0.584 Ni
0.584 0.584 0.081 Ni
0.667 0.667 0.667 Ni
0.919 0.416 0.416 Ni



No. 16
Tb2Tm2Ni, optimized geometry, DFT PBE; space-group type = P6_3/mmc, No. 194; total moment = 0.00 μB per cell; theoretical density = 9.43 g/cm3; total energy = -47.334 eV for the cell shown
1.0
5.194 0.000 0.000
-2.597 4.498 0.000
0.000 0.000 10.769
Tb Tm Ni
4 4 2
direct
0.333 0.667 0.097 Tb
0.333 0.667 0.403 Tb
0.667 0.333 0.597 Tb
0.667 0.333 0.903 Tb
0.000 0.000 0.000 Tm
0.000 0.000 0.500 Tm
0.333 0.667 0.750 Tm
0.667 0.333 0.250 Tm
0.000 0.000 0.250 Ni
0.000 0.000 0.750 Ni



No. 17
TbTmNi, optimized geometry, DFT PBE; space-group type = Amm2, No. 38; excess energy over the best structure of this formula in the dataset = 0.00 eV/f.u.; total moment = 0.00 μB per cell; theoretical density = 9.39 g/cm3
1.0
4.643 0.000 0.000
0.000 6.180 3.573
0.000 -6.180 3.573
Tb Tm Ni
3 3 3
direct
0.000 0.000 0.000 Tb
0.000 0.193 0.597 Tb
0.000 0.597 0.193 Tb
0.500 0.332 0.332 Tm
0.500 0.596 0.860 Tm
0.500 0.860 0.596 Tm
0.000 0.596 0.596 Ni
0.500 0.262 0.929 Ni
0.500 0.929 0.262 Ni



No. 18
TbUNi, optimized geometry, DFT PBE; space-group type = F-43m, No. 216; excess energy over the best structure of this formula in the dataset = 0.00 eV/f.u.; total moment = 3.35 μB per cell; theoretical density = 10.62 g/cm3
1.0
0.000 3.291 3.291
3.291 0.000 3.291
3.291 3.291 0.000
Tb U Ni
1 1 1
direct
0.000 0.000 0.000 Tb
0.500 0.500 0.500 U
0.750 0.750 0.750 Ni



No. 19
TbNiW, optimized geometry, DFT PBE; space-group type = F-43m, No. 216; excess energy over the best structure of this formula in the dataset = 0.00 eV/f.u.; total moment = 0.10 μB per cell; theoretical density = 11.20 g/cm3
1.0
0.000 3.099 3.099
3.099 0.000 3.099
3.099 3.099 0.000
Tb Ni W
1 1 1
direct
0.000 0.000 0.000 Tb
0.250 0.250 0.250 Ni
0.500 0.500 0.500 W



No. 20
TbYNi4, optimized geometry, DFT PBE; space-group type = F-43m, No. 216; excess energy over the best structure of this formula in the dataset = 0.00 eV/f.u.; total moment = 0.00 μB per cell; theoretical density = 8.74 g/cm3
1.0
0.000 3.579 3.579
3.579 0.000 3.579
3.579 3.579 0.000
Tb Y Ni
1 1 4
direct
0.000 0.000 0.000 Tb
0.750 0.750 0.750 Y
0.375 0.375 0.375 Ni
0.375 0.375 0.875 Ni
0.375 0.875 0.375 Ni
0.875 0.375 0.375 Ni



No. 21
TbYNi4, optimized geometry, DFT PBE; space-group type = P6/mmm, No. 191; excess energy over the best structure of this formula in the dataset = 2.56 eV/f.u.; total moment = 0.01 μB per cell; theoretical density = 8.04 g/cm3
1.0
5.350 0.000 0.000
-2.675 4.633 0.000
0.000 0.000 8.042
Tb Y Ni
2 2 8
direct
0.333 0.667 0.000 Tb
0.667 0.333 0.000 Tb
0.000 0.000 0.000 Y
0.000 0.000 0.500 Y
0.000 0.500 0.274 Ni
0.000 0.500 0.726 Ni
0.333 0.667 0.500 Ni
0.500 0.000 0.274 Ni
0.500 0.000 0.726 Ni
0.500 0.500 0.274 Ni
0.500 0.500 0.726 Ni
0.667 0.333 0.500 Ni



No. 22
TbYNi, optimized geometry, DFT PBE; space-group type = F-43m, No. 216; excess energy over the best structure of this formula in the dataset = 0.31 eV/f.u.; total moment = 0.01 μB per cell; theoretical density = 6.73 g/cm3
1.0
0.000 3.356 3.356
3.356 0.000 3.356
3.356 3.356 0.000
Tb Y Ni
1 1 1
direct
0.000 0.000 0.000 Tb
0.500 0.500 0.500 Y
0.250 0.250 0.250 Ni



No. 23
TbYNi2, optimized geometry, DFT PBE; space-group type = Amm2, No. 38; total moment = 0.00 μB per cell; theoretical density = 7.59 g/cm3; total energy = -23.997 eV for the cell shown
1.0
4.238 0.000 0.000
0.000 1.852 5.090
0.000 -1.852 5.090
Tb Y Ni
1 1 2
direct
0.000 0.000 0.000 Tb
0.500 0.278 0.278 Y
0.000 0.711 0.711 Ni
0.500 0.566 0.566 Ni



No. 24
Tb2Y2Ni, optimized geometry, DFT PBE; space-group type = P6_3/mmc, No. 194; total moment = 0.14 μB per cell; theoretical density = 6.91 g/cm3; total energy = -55.163 eV for the cell shown
1.0
5.355 0.000 0.000
-2.678 4.638 0.000
0.000 0.000 10.726
Tb Y Ni
4 4 2
direct
0.333 0.667 0.097 Tb
0.333 0.667 0.403 Tb
0.667 0.333 0.597 Tb
0.667 0.333 0.903 Tb
0.000 0.000 0.000 Y
0.000 0.000 0.500 Y
0.333 0.667 0.750 Y
0.667 0.333 0.250 Y
0.000 0.000 0.250 Ni
0.000 0.000 0.750 Ni